[1]
An optimized crystal structure of Ac2As4IrRh3. Source: the Alexandria database, functional GGA-PBE.

Cell and atoms, written as extended XYZ:
```
10
Lattice="4.402 0.000 0.000 0.000 4.402 0.000 0.000 0.000 10.163" Properties=species:S:1:pos:R:3 pbc="T T T"
Ac 0.000 2.201 2.508
Ac 2.201 0.000 7.656
As 0.000 0.000 0.000
As 0.000 2.201 6.444
As 2.201 0.000 3.719
As 2.201 2.201 0.000
Ir 0.000 0.000 5.082
Rh 0.000 2.201 8.959
Rh 2.201 0.000 1.205
Rh 2.201 2.201 5.082
```

Calculated values
* calculated formation energy: -0.876 eV per atom
* symmetry: P-4m2, No. 115
* ρ: 10.58 g cm⁻³
* total moment: 0.032 μB/atom

***

[2]
An optimized crystal structure of Ac2As3IrRh4. Source: the Alexandria database, functional GGA-PBE.

Cell and atoms, written as extended XYZ:
```
10
Lattice="4.424 0.000 0.000 0.000 4.424 0.000 0.000 0.000 10.129" Properties=species:S:1:pos:R:3 pbc="T T T"
Ac 0.000 2.212 2.518
Ac 2.212 0.000 7.611
As 0.000 0.000 0.000
As 0.000 2.212 6.369
As 2.212 0.000 3.760
Ir 2.212 2.212 0.000
Rh 0.000 0.000 5.064
Rh 0.000 2.212 8.878
Rh 2.212 0.000 1.250
Rh 2.212 2.212 5.064
```

Calculated values
* calculated formation energy: -0.738 eV per atom
* symmetry: P-4m2, No. 115
* ρ: 10.74 g cm⁻³
* total moment: 0.003 μB/atom

***

[3]
An optimized crystal structure of AcAs2IrRu. Source: the Alexandria database, functional GGA-PBE.

Cell and atoms, written as extended XYZ:
```
5
Lattice="-2.080 2.080 5.951 2.080 -2.080 5.951 2.080 2.080 -5.951" Properties=species:S:1:pos:R:3 pbc="T T T"
Ac 0.000 0.000 0.000
As 0.000 0.000 4.305
As 0.000 0.000 7.598
Ir 0.000 2.080 2.976
Ru 2.080 0.000 2.976
```

Calculated values
* calculated formation energy: -0.729 eV per atom
* symmetry: I-4m2, No. 119
* ρ: 10.81 g cm⁻³
* total moment: 0.000 μB/atom

***

[4]
An optimized crystal structure of AcAsIrS. Source: the Alexandria database, functional GGA-PBE.

Cell and atoms, written as extended XYZ:
```
8
Lattice="4.631 0.000 0.000 0.000 4.631 0.000 0.000 0.000 8.954" Properties=species:S:1:pos:R:3 pbc="T T T"
Ac 1.158 1.158 1.676
Ac 3.474 3.474 7.278
As 1.158 1.158 5.538
As 3.474 3.474 3.416
Ir 1.158 3.474 4.477
Ir 3.474 1.158 4.477
S 1.158 3.474 0.000
S 3.474 1.158 0.000
```

Calculated values
* E_form (uncorrected): -1046 meV per atom
* symmetry: P4/nmm, No. 129
* ρ: 9.10 g cm⁻³
* total moment: 0.000 μB/atom

***

> Which of these has the lowest ρ?

AcAsIrS

***

> What is the formula in the second record?

Ac2As3IrRh4

***

Please write out number 3 again, unchanged.
An optimized crystal structure of AcAs2IrRu. Source: the Alexandria database, functional GGA-PBE.

Cell and atoms, written as extended XYZ:
```
5
Lattice="-2.080 2.080 5.951 2.080 -2.080 5.951 2.080 2.080 -5.951" Properties=species:S:1:pos:R:3 pbc="T T T"
Ac 0.000 0.000 0.000
As 0.000 0.000 4.305
As 0.000 0.000 7.598
Ir 0.000 2.080 2.976
Ru 2.080 0.000 2.976
```

Calculated values
* calculated formation energy: -0.729 eV per atom
* symmetry: I-4m2, No. 119
* ρ: 10.81 g cm⁻³
* total moment: 0.000 μB/atom